(1)
This record from Alexandria via LeMat-Bulk describes a geometry-optimized TbPr2HoEr5 structure. The functional is GGA-PBE.

Summary:
Formation energy from the elements ... 0.272 eV per atom
VASP energy ... -156.55 eV for the cell shown

Cell and atoms, written as CIF:
```
data_TbPr2HoEr5
_space_group_name_H-M_alt 'I 4/m c m'
_space_group_IT_number 140
_space_group_name_Hall '-I 4 2c'
_cell_length_a 8.602
_cell_length_b 8.602
_cell_length_c 15.667
_cell_angle_alpha 90.00
_cell_angle_beta 90.00
_cell_angle_gamma 90.00
loop_
_atom_site_label
_atom_site_fract_x
_atom_site_fract_y
_atom_site_fract_z
Tb1 0.000 0.000 0.250
Pr1 0.118 0.382 0.000
Ho1 0.000 0.500 0.250
Er1 0.000 0.000 0.000
Er2 0.213 0.287 0.359
```

***

(2)
This record from Alexandria via LeMat-Bulk describes a geometry-optimized AlRh2Au structure. The functional is GGA-PBE.

Summary:
Formation energy from the elements ... -0.309 eV per atom
VASP energy ... -45.92 eV for the cell shown

Cell and atoms, written as CIF:
```
data_AlRh2Au
_space_group_name_H-M_alt 'I -4 m 2'
_space_group_IT_number 119
_space_group_name_Hall 'I -4 -2'
_cell_length_a 3.945
_cell_length_b 3.945
_cell_length_c 7.745
_cell_angle_alpha 90.00
_cell_angle_beta 90.00
_cell_angle_gamma 90.00
loop_
_atom_site_label
_atom_site_fract_x
_atom_site_fract_y
_atom_site_fract_z
Al1 0.000 0.000 0.000
Rh1 0.000 0.000 0.500
Rh2 0.000 0.500 0.250
Au1 0.000 0.500 0.750
```

***

| no. | ρ (g/cm³) | magnetization (μB/f.u.) |
| --- | --- | --- |
| 1 | 8.26 | 0.00 |
| 2 | 11.84 | 0.78 |